No. 1
A relaxed MnH2Au crystal. Source: Alexandria via LeMat-Bulk, functional PBE.

* distance to the lowest polymorph of the same formula: 0.439 eV/atom
* symmetry: Fm-3m (225)

Unit cell a=5.4057 b=5.4057 c=5.4057 alpha=90.00 beta=90.00 gamma=90.00
With the nearest neighbours (Å) after each atom.
Sites, in units of the cell vectors:
Mn1 0.0000 0.0000 0.0000  8 H 2.34
Mn2 0.0000 0.5000 0.5000  8 H 2.34
Mn3 0.5000 0.0000 0.5000  8 H 2.34
Mn4 0.5000 0.5000 0.0000  8 H 2.34
H1 0.2500 0.2500 0.2500  4 Mn 2.34, 4 Au 2.34
H2 0.2500 0.2500 0.7500  4 Mn 2.34, 4 Au 2.34
H3 0.2500 0.7500 0.2500  4 Mn 2.34, 4 Au 2.34
H4 0.2500 0.7500 0.7500  4 Mn 2.34, 4 Au 2.34
H5 0.7500 0.2500 0.2500  4 Mn 2.34, 4 Au 2.34
H6 0.7500 0.2500 0.7500  4 Mn 2.34, 4 Au 2.34
H7 0.7500 0.7500 0.2500  4 Mn 2.34, 4 Au 2.34
H8 0.7500 0.7500 0.7500  4 Mn 2.34, 4 Au 2.34
Au1 0.0000 0.0000 0.5000  8 H 2.34
Au2 0.0000 0.5000 0.0000  8 H 2.34
Au3 0.5000 0.0000 0.0000  8 H 2.34
Au4 0.5000 0.5000 0.5000  8 H 2.34



No. 2
A relaxed Mn3HAu crystal. Source: Alexandria via LeMat-Bulk, functional PBE.

* distance to the lowest polymorph of the same formula: 0.000 eV/atom
* symmetry: Pm-3m (221)

Unit cell a=3.7190 b=3.7190 c=3.7190 alpha=90.00 beta=90.00 gamma=90.00
With the nearest neighbours (Å) after each atom.
Sites, in units of the cell vectors:
Mn1 0.0000 0.0000 0.5000  2 H 1.86
Mn2 0.0000 0.5000 0.0000  2 H 1.86
Mn3 0.5000 0.0000 0.0000  2 H 1.86
H1 0.0000 0.0000 0.0000  6 Mn 1.86
Au1 0.5000 0.5000 0.5000  12 Mn 2.63



No. 3
A relaxed MnHAu crystal. Source: Alexandria via LeMat-Bulk, functional PBE.

* distance to the lowest polymorph of the same formula: 0.000 eV/atom
* symmetry: P3m1 (156)

Unit cell a=2.9518 b=2.9518 c=4.5933 alpha=90.00 beta=90.00 gamma=120.00
With the nearest neighbours (Å) after each atom.
Sites, in units of the cell vectors:
Mn1 0.0000 0.0000 0.0000  3 H 1.72
H1 0.6667 0.3333 0.0478  3 Mn 1.72
Au1 0.3333 0.6667 0.5111  6 H 2.73-3.00, 6 Mn 2.82-2.90, 6 Au 2.95



No. 4
A relaxed MnHAu crystal. Source: Alexandria via LeMat-Bulk, functional PBE.

* distance to the lowest polymorph of the same formula: 0.037 eV/atom
* symmetry: Cm (8)

Unit cell a=9.4038 b=3.0026 c=6.8300 alpha=90.00 beta=129.56 gamma=90.00
With the nearest neighbours (Å) after each atom.
Sites, in units of the cell vectors:
Mn1 0.0000 0.0000 0.0000  2 H 1.77-1.81
Mn2 0.2320 0.0000 0.5563  3 H 1.77-1.78
Mn3 0.5000 0.5000 0.0000  2 H 1.77-1.81
Mn4 0.7320 0.5000 0.5563  3 H 1.77-1.78
H1 0.2287 0.0000 0.2928  2 Mn 1.77-1.78, 1 Au 1.94
H2 0.3612 0.5000 0.6585  3 Mn 1.77-1.81
H3 0.7287 0.5000 0.2928  2 Mn 1.77-1.78, 1 Au 1.94
H4 0.8612 0.0000 0.6585  3 Mn 1.77-1.81
Au1 0.1260 0.5000 0.7948  2 H 2.52, 4 Mn 2.78-2.82
Au2 0.4142 0.0000 0.2511  1 H 1.94
Au3 0.6260 0.0000 0.7948  2 H 2.52, 4 Mn 2.78-2.82
Au4 0.9142 0.5000 0.2511  1 H 1.94



No. 5
A relaxed Mn3HAu crystal. Source: Alexandria via LeMat-Bulk, functional PBE.

* distance to the lowest polymorph of the same formula: 1.070 eV/atom
* symmetry: Pm-3m (221)

Unit cell a=5.0353 b=5.0353 c=5.0353 alpha=90.00 beta=90.00 gamma=90.00
With the nearest neighbours (Å) after each atom.
Sites, in units of the cell vectors:
Mn1 0.0000 0.0000 0.5000  2 Au 2.52
Mn2 0.0000 0.5000 0.0000  2 Au 2.52
Mn3 0.5000 0.0000 0.0000  2 Au 2.52
H1 0.5000 0.5000 0.5000  12 Mn 3.56
Au1 0.0000 0.0000 0.0000  6 Mn 2.52



No. 6
A relaxed MnH3Au crystal. Source: Alexandria via LeMat-Bulk, functional PBE.

* distance to the lowest polymorph of the same formula: 0.197 eV/atom
* symmetry: Pm-3m (221)

Unit cell a=3.6678 b=3.6678 c=3.6678 alpha=90.00 beta=90.00 gamma=90.00
With the nearest neighbours (Å) after each atom.
Sites, in units of the cell vectors:
Mn1 0.0000 0.0000 0.0000  12 H 2.59
H1 0.0000 0.5000 0.5000  2 Au 1.83
H2 0.5000 0.0000 0.5000  2 Au 1.83
H3 0.5000 0.5000 0.0000  2 Au 1.83
Au1 0.5000 0.5000 0.5000  6 H 1.83



No. 7
A relaxed MnH2Au2 crystal. Source: Alexandria via LeMat-Bulk, functional PBE.

* symmetry: P4/mbm (127)
* calculated total energy: -4.370 eV per atom

Unit cell a=5.7111 b=5.7111 c=3.7833 alpha=90.00 beta=90.00 gamma=90.00
With the nearest neighbours (Å) after each atom.
Sites, in units of the cell vectors:
Mn1 0.0000 0.0000 0.0000  4 H 2.09
Mn2 0.5000 0.5000 0.0000  4 H 2.09
H1 0.1828 0.3172 0.0000  2 Au 1.89, 2 Mn 2.09
H2 0.3172 0.8172 0.0000  2 Au 1.89, 2 Mn 2.09
H3 0.6828 0.1828 0.0000  2 Au 1.89, 2 Mn 2.09
H4 0.8172 0.6828 0.0000  2 Au 1.89, 2 Mn 2.09
Au1 0.1819 0.3181 0.5000  2 H 1.89
Au2 0.3181 0.8181 0.5000  2 H 1.89
Au3 0.6819 0.1819 0.5000  2 H 1.89
Au4 0.8181 0.6819 0.5000  2 H 1.89



No. 8
A relaxed Mn3H3Au crystal. Source: Alexandria via LeMat-Bulk, functional PBE.

* symmetry: Pm-3n (223)
* calculated total energy: -5.814 eV per atom

Unit cell a=5.0953 b=5.0953 c=5.0953 alpha=90.00 beta=90.00 gamma=90.00
With the nearest neighbours (Å) after each atom.
Sites, in units of the cell vectors:
Mn1 0.0000 0.2500 0.5000  4 H 1.80
Mn2 0.0000 0.7500 0.5000  4 H 1.80
Mn3 0.2500 0.5000 0.0000  4 H 1.80
Mn4 0.5000 0.0000 0.2500  4 H 1.80
Mn5 0.5000 0.0000 0.7500  4 H 1.80
Mn6 0.7500 0.5000 0.0000  4 H 1.80
H1 0.0000 0.5000 0.2500  4 Mn 1.80
H2 0.0000 0.5000 0.7500  4 Mn 1.80
H3 0.2500 0.0000 0.5000  4 Mn 1.80
H4 0.5000 0.2500 0.0000  4 Mn 1.80
H5 0.5000 0.7500 0.0000  4 Mn 1.80
H6 0.7500 0.0000 0.5000  4 Mn 1.80
Au1 0.0000 0.0000 0.0000  12 H 2.85, 12 Mn 2.85
Au2 0.5000 0.5000 0.5000  12 H 2.85, 12 Mn 2.85



No. 9
A relaxed MnMo2HAu crystal. Source: Alexandria via LeMat-Bulk, functional PBE.

* symmetry: P4/mmm (123)
* calculated total energy: -7.359 eV per atom

Unit cell a=3.9183 b=3.9183 c=4.1680 alpha=90.00 beta=90.00 gamma=90.00
With the nearest neighbours (Å) after each atom.
Sites, in units of the cell vectors:
Mn1 0.0000 0.0000 0.0000  2 H 2.08
Mo1 0.0000 0.5000 0.5000  2 H 1.96
Mo2 0.5000 0.0000 0.5000  2 H 1.96
H1 0.0000 0.0000 0.5000  4 Mo 1.96, 2 Mn 2.08
Au1 0.5000 0.5000 0.0000  4 Mn 2.77, 8 Mo 2.86



No. 10
A relaxed Mn2MoHAu crystal. Source: Alexandria via LeMat-Bulk, functional PBE.

* symmetry: P4/mmm (123)
* calculated total energy: -6.995 eV per atom

Unit cell a=3.9330 b=3.9330 c=3.8405 alpha=90.00 beta=90.00 gamma=90.00
With the nearest neighbours (Å) after each atom.
Sites, in units of the cell vectors:
Mn1 0.0000 0.5000 0.0000  2 H 1.97
Mn2 0.5000 0.0000 0.0000  2 H 1.97
Mo1 0.0000 0.0000 0.5000  2 H 1.92
H1 0.0000 0.0000 0.0000  2 Mo 1.92, 4 Mn 1.97
Au1 0.5000 0.5000 0.5000  8 Mn 2.75, 4 Mo 2.78



No. 11
A relaxed MnNb2HAu crystal. Source: Alexandria via LeMat-Bulk, functional PBE.

* symmetry: P4/mmm (123)
* calculated total energy: -7.257 eV per atom

Unit cell a=4.0646 b=4.0646 c=4.1677 alpha=90.00 beta=90.00 gamma=90.00
With the nearest neighbours (Å) after each atom.
Sites, in units of the cell vectors:
Mn1 0.0000 0.0000 0.0000  2 H 2.08
Nb1 0.0000 0.5000 0.5000  2 H 2.03
Nb2 0.5000 0.0000 0.5000  2 H 2.03
H1 0.0000 0.0000 0.5000  4 Nb 2.03, 2 Mn 2.08
Au1 0.5000 0.5000 0.0000  4 Mn 2.87, 8 Nb 2.91



No. 12
A relaxed Mn2NbHAu crystal. Source: Alexandria via LeMat-Bulk, functional PBE.

* symmetry: P4/mmm (123)
* calculated total energy: -6.988 eV per atom

Unit cell a=3.9733 b=3.9733 c=3.9092 alpha=90.00 beta=90.00 gamma=90.00
With the nearest neighbours (Å) after each atom.
Sites, in units of the cell vectors:
Mn1 0.0000 0.5000 0.0000  2 H 1.99
Mn2 0.5000 0.0000 0.0000  2 H 1.99
Nb1 0.0000 0.0000 0.5000  2 H 1.95
H1 0.0000 0.0000 0.0000  2 Nb 1.95, 4 Mn 1.99
Au1 0.5000 0.5000 0.5000  8 Mn 2.79, 4 Nb 2.81



No. 13
A relaxed MnHOsAu2 crystal. Source: Alexandria via LeMat-Bulk, functional PBE.

* symmetry: P4/mmm (123)
* calculated total energy: -5.228 eV per atom

Unit cell a=5.0033 b=5.0033 c=2.9712 alpha=90.00 beta=90.00 gamma=90.00
With the nearest neighbours (Å) after each atom.
Sites, in units of the cell vectors:
Mn1 0.0000 0.0000 0.0000  2 H 1.49
H1 0.0000 0.0000 0.5000  2 Mn 1.49
Os1 0.5000 0.5000 0.5000  8 Au 2.91, 2 Os 2.97
Au1 0.0000 0.5000 0.0000  2 Mn 2.50
Au2 0.5000 0.0000 0.0000  2 Mn 2.50



No. 14
A relaxed MnHPdAu crystal. Source: Alexandria via LeMat-Bulk, functional PBE.

* distance to the lowest polymorph of the same formula: 0.080 eV/atom
* symmetry: R3m (160)

Unit cell a=2.9561 b=2.9561 c=20.2208 alpha=90.00 beta=90.00 gamma=120.00
With the nearest neighbours (Å) after each atom.
Sites, in units of the cell vectors:
Mn1 0.0000 0.0000 0.0000  3 H 2.15
Mn2 0.3333 0.6667 0.6667  3 H 2.15
Mn3 0.6667 0.3333 0.3333  3 H 2.15
H1 0.0000 0.0000 0.3984  3 Pd 1.91
H2 0.3333 0.6667 0.0650  3 Pd 1.91
H3 0.6667 0.3333 0.7317  3 Pd 1.91
Pd1 0.0000 0.0000 0.7745  3 H 1.91
Pd2 0.3333 0.6667 0.4411  3 H 1.91
Pd3 0.6667 0.3333 0.1078  3 H 1.91
Au1 0.0000 0.0000 0.2265  3 Mn 2.75, 3 Pd 2.95, 6 Au 2.96
Au2 0.3333 0.6667 0.8932  3 Mn 2.75, 3 Pd 2.95, 6 Au 2.96
Au3 0.6667 0.3333 0.5598  3 Mn 2.75, 3 Pd 2.95, 6 Au 2.96



No. 15
A relaxed MnHPd2Au crystal. Source: Alexandria via LeMat-Bulk, functional PBE.

* distance to the lowest polymorph of the same formula: 0.056 eV/atom
* symmetry: P4/mmm (123)

Unit cell a=4.0574 b=4.0574 c=4.0419 alpha=90.00 beta=90.00 gamma=90.00
With the nearest neighbours (Å) after each atom.
Sites, in units of the cell vectors:
Mn1 0.0000 0.0000 0.0000  8 Pd 2.86, 4 Au 2.87
H1 0.5000 0.5000 0.5000  2 Au 2.02, 4 Pd 2.03
Pd1 0.0000 0.5000 0.5000  2 H 2.03
Pd2 0.5000 0.0000 0.5000  2 H 2.03
Au1 0.5000 0.5000 0.0000  2 H 2.02



No. 16
A relaxed MnHPdAu crystal. Source: Alexandria via LeMat-Bulk, functional PBE.

* distance to the lowest polymorph of the same formula: 0.114 eV/atom
* symmetry: Cm (8)

Unit cell a=5.0200 b=2.9004 c=7.1839 alpha=90.00 beta=103.11 gamma=90.00
With the nearest neighbours (Å) after each atom.
Sites, in units of the cell vectors:
Mn1 0.0000 0.0000 0.0000  3 H 1.79
Mn2 0.5000 0.5000 0.0000  3 H 1.79
H1 0.1370 0.5000 0.9094  1 Pd 1.75, 3 Mn 1.79
H2 0.6370 0.0000 0.9094  1 Pd 1.75, 3 Mn 1.79
Pd1 0.0425 0.5000 0.6592  1 H 1.75
Pd2 0.5425 0.0000 0.6592  1 H 1.75
Au1 0.2723 0.5000 0.3222  3 Mn 2.80-2.81, 3 Pd 2.88-2.91, 1 H 2.89, 6 Au 2.90
Au2 0.7723 0.0000 0.3222  3 Mn 2.80-2.81, 3 Pd 2.88-2.91, 1 H 2.89, 6 Au 2.90



No. 17
A relaxed MnHPdAu crystal. Source: Alexandria via LeMat-Bulk, functional PBE.

* distance to the lowest polymorph of the same formula: 0.000 eV/atom
* symmetry: Imm2 (44)

Unit cell a=3.1580 b=3.5952 c=8.9340 alpha=90.00 beta=90.00 gamma=90.00
With the nearest neighbours (Å) after each atom.
Sites, in units of the cell vectors:
Mn1 0.0000 0.0000 0.0000  2 H 1.95
Mn2 0.5000 0.5000 0.5000  2 H 1.95
H1 0.0000 0.5000 0.3723  2 Pd 1.83, 2 Mn 1.95
H2 0.5000 0.0000 0.8723  2 Pd 1.83, 2 Mn 1.95
Pd1 0.0000 0.0000 0.3357  2 H 1.83
Pd2 0.5000 0.5000 0.8357  2 H 1.83
Au1 0.0000 0.0000 0.6538  2 H 2.51, 4 Mn 2.76
Au2 0.5000 0.5000 0.1538  2 H 2.51, 4 Mn 2.76



No. 18
A relaxed MnHPdAu crystal. Source: Alexandria via LeMat-Bulk, functional PBE.

* distance to the lowest polymorph of the same formula: 0.057 eV/atom
* symmetry: I4mm (107)

Unit cell a=2.8885 b=2.8885 c=12.2407 alpha=90.00 beta=90.00 gamma=90.00
With the nearest neighbours (Å) after each atom.
Sites, in units of the cell vectors:
Mn1 0.0000 0.0000 0.0000  1 H 2.03
Mn2 0.5000 0.5000 0.5000  1 H 2.03
H1 0.0000 0.0000 0.1658  1 Mn 2.03, 4 Pd 2.05, 1 Au 2.24
H2 0.5000 0.5000 0.6658  1 Mn 2.03, 4 Pd 2.05, 1 Au 2.24
Pd1 0.0000 0.0000 0.6574  4 H 2.05
Pd2 0.5000 0.5000 0.1574  4 H 2.05
Au1 0.0000 0.0000 0.3484  1 H 2.24
Au2 0.5000 0.5000 0.8484  1 H 2.24



No. 19
A relaxed MnHPdAu crystal. Source: Alexandria via LeMat-Bulk, functional PBE.

* distance to the lowest polymorph of the same formula: 0.123 eV/atom
* symmetry: R3m (160)

Unit cell a=2.9564 b=2.9564 c=21.0423 alpha=90.00 beta=90.00 gamma=120.00
With the nearest neighbours (Å) after each atom.
Sites, in units of the cell vectors:
Mn1 0.0000 0.0000 0.0000  3 Pd 2.74, 3 Au 2.76, 6 Mn 2.96
Mn2 0.3333 0.6667 0.6667  3 Pd 2.74, 3 Au 2.76, 6 Mn 2.96
Mn3 0.6667 0.3333 0.3333  3 Pd 2.74, 3 Au 2.76, 6 Mn 2.96
H1 0.0000 0.0000 0.4671  3 Pd 1.83, 1 Au 2.03
H2 0.3333 0.6667 0.1337  3 Pd 1.83, 1 Au 2.03
H3 0.6667 0.3333 0.8004  3 Pd 1.83, 1 Au 2.03
Pd1 0.0000 0.0000 0.7684  3 H 1.83
Pd2 0.3333 0.6667 0.4351  3 H 1.83
Pd3 0.6667 0.3333 0.1018  3 H 1.83
Au1 0.0000 0.0000 0.5634  1 H 2.03
Au2 0.3333 0.6667 0.2301  1 H 2.03
Au3 0.6667 0.3333 0.8967  1 H 2.03



No. 20
A relaxed MnHPd2Au crystal. Source: Alexandria via LeMat-Bulk, functional PBE.

* distance to the lowest polymorph of the same formula: 0.000 eV/atom
* symmetry: P4/mmm (123)

Unit cell a=4.0096 b=4.0096 c=4.0803 alpha=90.00 beta=90.00 gamma=90.00
With the nearest neighbours (Å) after each atom.
Sites, in units of the cell vectors:
Mn1 0.0000 0.0000 0.0000  2 H 2.04
H1 0.0000 0.0000 0.5000  4 Pd 2.00, 2 Mn 2.04
Pd1 0.0000 0.5000 0.5000  2 H 2.00
Pd2 0.5000 0.0000 0.5000  2 H 2.00
Au1 0.5000 0.5000 0.0000  4 Mn 2.84, 8 Pd 2.86



What did we get for calculated volume? Answer: 39; 51; 35; 37; 128; 49; 62; 66; 64; 59; 69; 62; 74; 51; 67; 51; 51; 51; 53; 66 Å³/f.u., in the order shown.